The following is a DFT calculation (PBE-GGA) of VMoH3 after structural relaxation.

Values from the calculation:
The symmetry is Pm-3m. The calculation puts the energy above the most stable polymorph in this dataset at 297 meV/atom.

Structure (extended XYZ):
```
5
Lattice="3.3345 0.0000 0.0000 0.0000 3.3345 0.0000 0.0000 0.0000 3.3345" Properties=species:S:1:pos:R:3 pbc="T T T"
V 0.0000 0.0000 0.0000
H 0.0000 0.0000 1.6673
H 1.6673 0.0000 0.0000
H 0.0000 1.6673 0.0000
Mo 1.6673 1.6673 1.6673
```